# 1
{"formula": "Mg2Si3", "functional": "PBE-GGA", "state": "relaxed", "cell": [[7.610, 0.000, 0.000], [0.000, 3.391, 0.000], [-3.108, 0.000, 6.957]], "species": ["Mg", "Mg", "Mg", "Mg", "Si", "Si", "Si", "Si", "Si", "Si"], "frac_coords": [[0.177, 0.250, 0.466], [0.196, 0.750, 0.100], [0.804, 0.250, 0.900], [0.823, 0.750, 0.534], [0.097, 0.250, 0.786], [0.432, 0.250, 0.868], [0.493, 0.250, 0.359], [0.507, 0.750, 0.641], [0.568, 0.750, 0.132], [0.903, 0.750, 0.214]], "mass_density_g_cm3": 2.46, "dft_energy_ev_per_cell": -38.1, "magmom_total_mub_per_fu": 0.000, "formation_energy_uncorrected_ev_per_atom": 0.09}



# 2
{"formula": "Tb6Y8Cd", "functional": "PBE-GGA", "state": "relaxed", "cell": [[9.495, 0.000, 0.000], [-4.748, 8.223, 0.000], [0.000, 0.000, 6.207]], "species": ["Tb", "Tb", "Tb", "Tb", "Tb", "Tb", "Y", "Y", "Y", "Y", "Y", "Y", "Y", "Y", "Cd"], "frac_coords": [[0.092, 0.634, 0.193], [0.366, 0.459, 0.193], [0.459, 0.092, 0.807], [0.541, 0.908, 0.193], [0.634, 0.541, 0.807], [0.908, 0.366, 0.807], [0.040, 0.776, 0.697], [0.224, 0.264, 0.697], [0.264, 0.040, 0.303], [0.333, 0.667, 0.694], [0.667, 0.333, 0.306], [0.736, 0.960, 0.697], [0.776, 0.736, 0.303], [0.960, 0.224, 0.303], [0.000, 0.000, 0.000]], "mass_density_g_cm3": 6.09, "e_form_mev_per_atom": 92, "dft_energy_ev_per_cell": -79.0, "magmom_total_mub_per_fu": 0.000}



# 3
{"formula": "MnReB2", "functional": "PBE-GGA", "state": "relaxed", "cell": [[3.015, 0.000, 0.000], [0.000, 4.334, 0.000], [0.000, 0.000, 5.700]], "species": ["Mn", "Mn", "Re", "Re", "B", "B", "B", "B"], "frac_coords": [[0.000, 0.129, 0.000], [0.000, 0.871, 0.500], [0.500, 0.370, 0.641], [0.500, 0.630, 0.141], [0.000, 0.338, 0.348], [0.000, 0.662, 0.848], [0.500, 0.122, 0.281], [0.500, 0.878, 0.781]], "mass_density_g_cm3": 11.72, "e_form_mev_per_atom": -341, "dft_energy_ev_per_cell": -72.7, "magmom_total_mub_per_fu": 2.038}



# 4
{"formula": "Nd2ZnI", "functional": "PBE-GGA", "state": "relaxed", "cell": [[3.695, 0.000, 0.000], [0.000, 3.695, 0.000], [0.000, 0.000, 8.387]], "species": ["Nd", "Nd", "Zn", "I"], "frac_coords": [[0.000, 0.000, 0.218], [0.000, 0.000, 0.782], [0.500, 0.500, 0.000], [0.500, 0.500, 0.500]], "mass_density_g_cm3": 6.97, "dft_energy_ev_per_cell": -14.4, "magmom_total_mub_per_fu": 0.382, "formation_energy_uncorrected_ev_per_atom": -0.52}



# 5
{"formula": "CsTl6Cd2", "functional": "PBE-GGA", "state": "relaxed", "cell": [[5.593, 0.000, 0.000], [0.000, 5.593, 0.000], [0.000, 0.000, 9.688]], "species": ["Cs", "Tl", "Tl", "Tl", "Tl", "Tl", "Tl", "Cd", "Cd"], "frac_coords": [[0.000, 0.000, 0.000], [0.000, 0.000, 0.500], [0.000, 0.500, 0.304], [0.000, 0.500, 0.696], [0.500, 0.000, 0.304], [0.500, 0.000, 0.696], [0.500, 0.500, 0.500], [0.500, 0.500, 0.149], [0.500, 0.500, 0.851]], "mass_density_g_cm3": 8.68, "e_form_mev_per_atom": -36, "dft_energy_ev_per_cell": -17.2, "magmom_total_mub_per_fu": 0.000}



# 6
{"formula": "NdY2Hf", "functional": "PBE-GGA", "state": "relaxed", "cell": [[1.736, 1.002, 11.382], [-1.736, 1.002, 11.382], [0.000, -2.004, 11.382]], "species": ["Nd", "Y", "Y", "Hf"], "frac_coords": [[0.000, 0.000, 0.000], [0.577, 0.577, 0.577], [0.757, 0.757, 0.757], [0.166, 0.166, 0.166]], "mass_density_g_cm3": 7.00, "e_form_mev_per_atom": 128, "dft_energy_ev_per_cell": -27.1, "magmom_total_mub_per_fu": 0.000}



# 7
{"formula": "TbTm3Cu2", "functional": "PBE-GGA", "state": "relaxed", "cell": [[3.442, 0.000, 0.000], [0.000, 3.442, 0.000], [0.000, 0.000, 11.976]], "species": ["Tb", "Tm", "Tm", "Tm", "Cu", "Cu"], "frac_coords": [[0.000, 0.000, 0.000], [0.500, 0.500, 0.217], [0.500, 0.500, 0.500], [0.500, 0.500, 0.783], [0.000, 0.000, 0.357], [0.000, 0.000, 0.643]], "mass_density_g_cm3": 9.28, "e_form_mev_per_atom": -178, "dft_energy_ev_per_cell": -27.3, "magmom_total_mub_per_fu": 0.000}



# 8
{"formula": "PmP2PdRh2", "functional": "PBE-GGA", "state": "relaxed", "cell": [[6.261, 0.000, 0.000], [0.000, 8.756, 0.000], [0.000, 0.000, 4.062]], "species": ["Pm", "Pm", "P", "P", "P", "P", "Pd", "Pd", "Rh", "Rh", "Rh", "Rh"], "frac_coords": [[0.000, 0.000, 0.000], [0.500, 0.500, 0.500], [0.246, 0.197, 0.500], [0.254, 0.697, 0.000], [0.746, 0.303, 0.000], [0.754, 0.803, 0.500], [0.000, 0.500, 0.000], [0.500, 0.000, 0.500], [0.092, 0.721, 0.500], [0.408, 0.221, 0.000], [0.592, 0.779, 0.000], [0.908, 0.279, 0.500]], "mass_density_g_cm3": 7.74, "e_form_mev_per_atom": -764, "dft_energy_ev_per_cell": -80.1, "magmom_total_mub_per_fu": 0.000}



# 9
{"formula": "ReP2Se", "functional": "PBE-GGA", "state": "relaxed", "cell": [[1.484, -2.372, 0.000], [1.484, 2.372, 0.000], [0.000, 0.000, 10.197]], "species": ["Re", "P", "P", "Se"], "frac_coords": [[0.000, 0.000, 0.000], [0.500, 0.500, 0.191], [0.500, 0.500, 0.809], [0.000, 0.000, 0.500]], "mass_density_g_cm3": 7.57, "dft_energy_ev_per_cell": -25.0, "magmom_total_mub_per_fu": 0.000, "formation_energy_uncorrected_ev_per_atom": 0.43}



# 10
{"formula": "NaHgAs", "functional": "PBE-GGA", "state": "relaxed", "cell": [[4.526, 0.000, 0.000], [-2.263, 3.919, 0.000], [0.000, 0.000, 4.613]], "species": ["Na", "Hg", "As"], "frac_coords": [[0.000, 0.000, 0.000], [0.667, 0.333, 0.467], [0.333, 0.667, 0.534]], "mass_density_g_cm3": 6.06, "e_form_mev_per_atom": -204, "dft_energy_ev_per_cell": -6.9, "magmom_total_mub_per_fu": 0.000}



# 11
{"formula": "Ac2TbSmSe6", "functional": "PBE-GGA", "state": "relaxed", "cell": [[3.811, 2.200, 6.573], [-3.811, 2.200, 6.573], [0.000, -4.401, 6.573]], "species": ["Ac", "Ac", "Tb", "Sm", "Se", "Se", "Se", "Se", "Se", "Se"], "frac_coords": [[0.000, 0.000, 0.000], [0.499, 0.499, 0.499], [0.708, 0.708, 0.708], [0.209, 0.209, 0.209], [0.073, 0.428, 0.837], [0.339, 0.923, 0.578], [0.428, 0.837, 0.073], [0.578, 0.339, 0.923], [0.837, 0.073, 0.428], [0.923, 0.578, 0.339]], "mass_density_g_cm3": 6.21, "dft_energy_ev_per_cell": -57.7, "magmom_total_mub_per_fu": 0.000, "formation_energy_uncorrected_ev_per_atom": -1.92}



# 12
{"formula": "BaNaRuO4", "functional": "PBE-GGA", "state": "relaxed", "cell": [[-1.986, 1.986, 6.577], [1.986, -1.986, 6.577], [1.986, 1.986, -6.577]], "species": ["Ba", "Na", "Ru", "O", "O", "O", "O"], "frac_coords": [[0.000, 0.000, 0.000], [0.715, 0.715, 0.000], [0.343, 0.343, 0.000], [0.198, 0.198, 0.000], [0.348, 0.848, 0.500], [0.497, 0.497, 0.000], [0.848, 0.348, 0.500]], "mass_density_g_cm3": 5.21, "dft_energy_ev_per_cell": -43.5, "magmom_total_mub_per_fu": 2.515, "formation_energy_uncorrected_ev_per_atom": -1.60}